Entry from Alexandria via LeMat-Bulk: an optimized crystal structure of Rb3WI (GGA-PBE).

Cell lengths 6.889, 6.889, 6.889 Å; angles 90.00, 90.00, 90.00 degrees
Atoms (fractional coordinates):
Rb 0.000 0.000 0.500
Rb 0.000 0.500 0.000
Rb 0.500 0.000 0.000
W 0.500 0.500 0.500
I 0.000 0.000 0.000

Computed properties:
The calculation puts the energy relative to the lowest polymorph listed for this composition at 0.0000 eV/atom. The total DFT energy (no corrections) comes out at -2.67 eV/atom. For the formation energy (no corrections), the calculation gives 0.815 eV/atom. The space group is Pm-3m, No. 221.